1.
CoTeSeI2 | PBE | optimized geometry

a b c (Å): 5.181 5.181 5.008
angles (deg): 90.00 90.00 90.00
Space group P4/mmm (No. 123)
Symmetry-distinct sites (fractional):
Co: 0.000 0.000 0.000 x1
Te: 0.000 0.000 0.500 x1
Se: 0.500 0.500 0.500 x1
I: 0.000 0.500 0.000 x2

Summary:
- formation energy (no corrections) (eV/atom) = 0.5015
- energy above the lowest structure with this stoichiometry (eV per atom) = 0.000
- E (eV per atom) = -2.8650


2.
CoTe2SeI | PBE | optimized geometry

a b c (Å): 5.533 5.533 5.519
angles (deg): 90.00 90.00 90.00
Space group P4/mmm (No. 123)
Symmetry-distinct sites (fractional):
Co: 0.000 0.000 0.000 x1
Te: 0.000 0.500 0.500 x2
Se: 0.500 0.500 0.500 x1
I: 0.500 0.500 0.000 x1

Summary:
- formation energy (no corrections) (eV/atom) = 1.0409
- energy above the lowest structure with this stoichiometry (eV per atom) = 0.569
- E (eV per atom) = -2.6439


3.
CoTe2SeI | PBE | optimized geometry

a b c (Å): 5.015 5.015 5.141
angles (deg): 90.00 90.00 90.00
Space group P4/mmm (No. 123)
Symmetry-distinct sites (fractional):
Co: 0.000 0.000 0.000 x1
Te: 0.000 0.500 0.000 x2
Se: 0.500 0.500 0.500 x1
I: 0.000 0.000 0.500 x1

Summary:
- formation energy (no corrections) (eV/atom) = 0.4716
- energy above the lowest structure with this stoichiometry (eV per atom) = 0.000
- E (eV per atom) = -3.2132


4.
CoTeSeI2 | PBE | optimized geometry

a b c (Å): 5.607 5.607 5.699
angles (deg): 90.00 90.00 90.00
Space group P4/mmm (No. 123)
Symmetry-distinct sites (fractional):
Co: 0.000 0.000 0.000 x1
Te: 0.500 0.500 0.000 x1
Se: 0.500 0.500 0.500 x1
I: 0.000 0.500 0.500 x2

Summary:
- formation energy (no corrections) (eV/atom) = 0.9807
- energy above the lowest structure with this stoichiometry (eV per atom) = 0.479
- E (eV per atom) = -2.3858


5.
ZnCoSeI2 | PBE | optimized geometry

a b c (Å): 5.721 5.721 4.742
angles (deg): 90.00 90.00 90.00
Space group P4/mmm (No. 123)
Symmetry-distinct sites (fractional):
Zn: 0.000 0.000 0.000 x1
Co: 0.500 0.500 0.500 x1
Se: 0.000 0.000 0.500 x1
I: 0.000 0.500 0.000 x2

Summary:
- formation energy (no corrections) (eV/atom) = 0.7432
- E (eV per atom) = -2.2498


6.
CoSi2I | PBE | optimized geometry

a b c (Å): 5.663 5.663 12.003
angles (deg): 90.00 90.00 90.00
Space group I-42d (No. 122)
Symmetry-distinct sites (fractional):
Co: 0.000 0.000 0.000 x4
Si: 0.108 0.250 0.125 x8
I: 0.000 0.000 0.500 x4

Summary:
- formation energy (no corrections) (eV/atom) = 0.3795
- energy above the lowest structure with this stoichiometry (eV per atom) = 0.000
- E (eV per atom) = -4.4960


7.
Co3SiI | PBE | optimized geometry

a b c (Å): 4.322 4.322 4.322
angles (deg): 90.00 90.00 90.00
Space group Pm-3m (No. 221)
Symmetry-distinct sites (fractional):
Co: 0.000 0.000 0.500 x3
Si: 0.000 0.000 0.000 x1
I: 0.500 0.500 0.500 x1

Summary:
- formation energy (no corrections) (eV/atom) = 0.7504
- energy above the lowest structure with this stoichiometry (eV per atom) = 0.000
- E (eV per atom) = -4.9078


8.
CoSi3I | PBE | optimized geometry

a b c (Å): 4.523 4.523 4.523
angles (deg): 90.00 90.00 90.00
Space group Pm-3m (No. 221)
Symmetry-distinct sites (fractional):
Co: 0.000 0.000 0.000 x1
Si: 0.000 0.000 0.500 x3
I: 0.500 0.500 0.500 x1

Summary:
- formation energy (no corrections) (eV/atom) = 0.3316
- energy above the lowest structure with this stoichiometry (eV per atom) = 0.000
- E (eV per atom) = -4.6535


9.
CoSi2I | PBE | optimized geometry

a b c (Å): 6.537 6.537 6.537
angles (deg): 90.00 90.00 90.00
Space group Fm-3m (No. 225)
Symmetry-distinct sites (fractional):
Co: 0.000 0.000 0.000 x4
Si: 0.250 0.250 0.250 x8
I: 0.000 0.000 0.500 x4

Summary:
- formation energy (no corrections) (eV/atom) = 1.1808
- energy above the lowest structure with this stoichiometry (eV per atom) = 0.801
- E (eV per atom) = -3.6947


10.
Co2SiI | PBE | optimized geometry

a b c (Å): 4.974 4.974 12.253
angles (deg): 90.00 90.00 90.00
Space group I-42d (No. 122)
Symmetry-distinct sites (fractional):
Co: 0.194 0.250 0.125 x8
Si: 0.000 0.000 0.000 x4
I: 0.000 0.000 0.500 x4

Summary:
- formation energy (no corrections) (eV/atom) = 0.4406
- energy above the lowest structure with this stoichiometry (eV per atom) = 0.000
- E (eV per atom) = -4.8557


11.
CoSiI3 | PBE | optimized geometry

a b c (Å): 5.210 5.210 5.210
angles (deg): 90.00 90.00 90.00
Space group Pm-3m (No. 221)
Symmetry-distinct sites (fractional):
Co: 0.000 0.000 0.000 x1
Si: 0.500 0.500 0.500 x1
I: 0.000 0.000 0.500 x3

Summary:
- formation energy (no corrections) (eV/atom) = 0.6127
- energy above the lowest structure with this stoichiometry (eV per atom) = 0.000
- E (eV per atom) = -2.8232


12.
Co3SiI | PBE | optimized geometry

a b c (Å): 4.599 4.599 4.599
angles (deg): 90.00 90.00 90.00
Space group Pm-3m (No. 221)
Symmetry-distinct sites (fractional):
Co: 0.000 0.000 0.500 x3
Si: 0.500 0.500 0.500 x1
I: 0.000 0.000 0.000 x1

Summary:
- formation energy (no corrections) (eV/atom) = 1.5691
- energy above the lowest structure with this stoichiometry (eV per atom) = 0.819
- E (eV per atom) = -4.0890